No. 1
Pm3Sm GGA-PBEsol optimized geometry; energy relative to the elements = 0.6 kJ/mol of atoms; total moment = 0.00 μB per cell
1.0
-2.760 -0.332 4.199
2.459 -4.203 1.284
3.420 2.754 2.466
Pm Sm
3 1
direct
0.500 0.000 0.500 Pm
0.000 0.500 0.500 Pm
0.500 0.500 0.000 Pm
0.000 0.000 0.000 Sm

No. 2
TlAgOs2 GGA-PBEsol optimized geometry; energy relative to the elements = 88.0 kJ/mol of atoms; total moment = 0.00 μB per cell
1.0
2.802 0.000 0.000
0.000 4.722 0.000
-1.401 -2.361 5.300
Ag Os Tl
1 2 1
direct
0.269 0.769 0.538 Ag
0.034 0.034 0.068 Os
0.726 0.226 0.453 Os
0.471 0.471 0.941 Tl

| no. | energy above the most stable polymorph in this dataset (meV per atom) |
| --- | --- |
| 1 | 0 |
| 2 | 126 |